(1)
A relaxed Ho6MgCu crystal. Source: the Alexandria database, functional PBE-GGA.

Output
energy relative to the elements	0.059	eV/atom
space group	No. 2
crystal system	triclinic

Geometry as POSCAR:
```
Ho6MgCu
1.0
6.074 0.000 0.000
-0.558 6.050 0.000
-0.550 -0.596 6.022
Ho Mg Cu
6 1 1
Direct
0.032 0.072 0.261 Ho
0.239 0.468 0.928 Ho
0.428 0.739 0.467 Ho
0.572 0.261 0.533 Ho
0.761 0.532 0.072 Ho
0.968 0.928 0.739 Ho
0.500 0.000 0.000 Mg
0.000 0.500 0.500 Cu
```

(2)
A relaxed RbHg5H6 crystal. Source: the Alexandria database, functional PBE-GGA.

Output
space group	No. 12
crystal system	monoclinic
E_tot	-0.05697	Ha/atom

Geometry as POSCAR:
```
RbHg5H6
1.0
3.427 -5.576 0.000
3.427 5.576 0.000
-1.699 0.000 6.113
Rb Hg H
1 5 6
Direct
0.000 0.000 0.000 Rb
0.157 0.843 0.500 Hg
0.347 0.653 0.000 Hg
0.500 0.500 0.500 Hg
0.653 0.347 0.000 Hg
0.843 0.157 0.500 Hg
0.228 0.441 0.374 H
0.350 0.350 0.828 H
0.441 0.228 0.374 H
0.559 0.772 0.626 H
0.650 0.650 0.172 H
0.772 0.559 0.626 H
```

no.,magnetization (μB/cell),mass density (g/cm³)
1,0.000,8.1
2,0.000,7.8